An optimized crystal structure of Ac3CoPb. Source: Alexandria, functional PBE.

abc: 5.5550 5.5550 5.5550
angles: 90.00 90.00 90.00
Closest atoms and distances in Å follow each position.
Atoms (fractional coordinates):
Ac 0.0000 0.0000 0.5000  2 Co 2.78
Ac 0.0000 0.5000 0.0000  2 Co 2.78
Ac 0.5000 0.0000 0.0000  2 Co 2.78
Co 0.0000 0.0000 0.0000  6 Ac 2.78
Pb 0.5000 0.5000 0.5000  12 Ac 3.93

## Properties
E, eV/cell: -24.6
Energy relative to the elements, meV per atom: -285
Total moment, μB per cell: 0.00